# Er4GeSb2 PBE-GGA optimized geometry
data_Er4GeSb2
_chemical_formula_sum 'Er8 Ge2 Sb4'
_symmetry_space_group_name_H-M 'P 1 21/m 1'
_symmetry_Int_Tables_number 11
_cell_length_a 6.5310
_cell_length_b 6.4717
_cell_length_c 9.4695
_cell_angle_alpha 90.00
_cell_angle_beta 107.06
_cell_angle_gamma 90.00
loop_
_symmetry_equiv_pos_as_xyz
'x,y,z'
'-x,-y,-z'
'-x,y+1/2,-z'
'x,-y+1/2,z'
loop_
_atom_site_label
_atom_site_type_symbol
_atom_site_fract_x
_atom_site_fract_y
_atom_site_fract_z
Er1 Er 0.0129 0.0019 0.2598
Er2 Er 0.3699 0.7500 0.0441
Er3 Er 0.4441 0.7500 0.6499
Ge1 Ge 0.3734 0.7500 0.3394
Sb1 Sb 0.1954 0.2500 0.5459
Sb2 Sb 0.1993 0.2500 0.0347
# Electronic total energy in eV per atom: -5.123
# Formation energy from raw total energies in eV/atom: -0.68